Entry 1:
# Rb2TlZnBr6

An optimized crystal structure of Rb2TlZnBr6 (PBE, Alexandria).

Output
Energy relative to the elements, uncorrected: -1.092 eV per atom
SG: I4/mmm
DOS(E_F): 0.21 states/eV per atom

Cell and atoms, written as CIF:
```
data_Rb2TlZnBr6
_chemical_formula_sum 'Rb2 Tl1 Zn1 Br6'
_cell_length_a 7.888
_cell_length_b 7.888
_cell_length_c 7.888
_cell_angle_alpha 120.09
_cell_angle_beta 120.09
_cell_angle_gamma 89.84
_symmetry_space_group_name_H-M 'P 1'
_symmetry_Int_Tables_number 1
loop_
_symmetry_equiv_pos_as_xyz
'x,y,z'
loop_
_atom_site_label
_atom_site_type_symbol
_atom_site_fract_x
_atom_site_fract_y
_atom_site_fract_z
Rb1 Rb 0.250 0.750 0.500
Rb2 Rb 0.750 0.250 0.500
Tl1 Tl 0.000 0.000 0.000
Zn1 Zn 0.500 0.500 0.000
Br1 Br 0.264 0.264 0.000
Br2 Br 0.264 0.264 0.528
Br3 Br 0.264 0.736 0.000
Br4 Br 0.736 0.264 0.000
Br5 Br 0.736 0.736 0.000
Br6 Br 0.736 0.736 0.472
```


Entry 2:
# VCoS2

An optimized crystal structure of VCoS2 (PBE, Alexandria).

Output
Energy relative to the elements, uncorrected: -0.679 eV per atom
SG: Pnma
DOS(E_F): 0.71 states/eV per atom

Cell and atoms, written as CIF:
```
data_VCoS2
_chemical_formula_sum 'V4 Co4 S8'
_cell_length_a 5.588
_cell_length_b 3.181
_cell_length_c 12.616
_cell_angle_alpha 90.00
_cell_angle_beta 90.00
_cell_angle_gamma 90.00
_symmetry_space_group_name_H-M 'P 1'
_symmetry_Int_Tables_number 1
loop_
_symmetry_equiv_pos_as_xyz
'x,y,z'
loop_
_atom_site_label
_atom_site_type_symbol
_atom_site_fract_x
_atom_site_fract_y
_atom_site_fract_z
V1 V 0.206 0.250 0.062
V2 V 0.294 0.750 0.562
V3 V 0.706 0.250 0.438
V4 V 0.794 0.750 0.938
Co1 Co 0.140 0.250 0.858
Co2 Co 0.360 0.750 0.358
Co3 Co 0.640 0.250 0.642
Co4 Co 0.860 0.750 0.142
S1 S 0.153 0.250 0.428
S2 S 0.221 0.750 0.195
S3 S 0.279 0.250 0.695
S4 S 0.347 0.750 0.928
S5 S 0.653 0.250 0.072
S6 S 0.721 0.750 0.305
S7 S 0.779 0.250 0.805
S8 S 0.847 0.750 0.572
```


Entry 3:
# Er3RuPt2

An optimized crystal structure of Er3RuPt2 (PBE, Alexandria).

Output
Formation energy from the elements: -1004.7 meV per atom
SG: Cmmm
DOS(E_F): 0.61 states/eV per atom

Cell and atoms, written as CIF:
```
data_Er3RuPt2
_chemical_formula_sum 'Er6 Ru2 Pt4'
_cell_length_a 7.610
_cell_length_b 7.610
_cell_length_c 6.951
_cell_angle_alpha 90.00
_cell_angle_beta 90.00
_cell_angle_gamma 143.06
_symmetry_space_group_name_H-M 'P 1'
_symmetry_Int_Tables_number 1
loop_
_symmetry_equiv_pos_as_xyz
'x,y,z'
loop_
_atom_site_label
_atom_site_type_symbol
_atom_site_fract_x
_atom_site_fract_y
_atom_site_fract_z
Er1 Er 0.000 0.000 0.247
Er2 Er 0.000 0.000 0.753
Er3 Er 0.331 0.669 0.246
Er4 Er 0.331 0.669 0.754
Er5 Er 0.669 0.331 0.246
Er6 Er 0.669 0.331 0.754
Ru1 Ru 0.167 0.833 0.000
Ru2 Ru 0.833 0.167 0.000
Pt1 Pt 0.165 0.835 0.500
Pt2 Pt 0.500 0.500 0.000
Pt3 Pt 0.500 0.500 0.500
Pt4 Pt 0.835 0.165 0.500
```


Results for total DFT energy (no corrections): -2.654 -6.799 -6.846 (in eV/atom, following the order of the records).